one.
# PBE+U Ti3V2O9, optimized geometry
data_Ti3V2O9
_chemical_formula_sum 'Ti12 V8 O36'
_cell_length_a 18.5487
_cell_length_b 5.4264
_cell_length_c 6.8823
_cell_angle_alpha 90.00
_cell_angle_beta 100.48
_cell_angle_gamma 90.00
_space_group_name_H-M_alt 'C 1 2/c 1'
_space_group_IT_number 15
loop_
_space_group_symop_operation_xyz
'x,y,z'
'-x,-y,-z'
'-x,y,-z+1/2'
'x,-y,z+1/2'
'x+1/2,y+1/2,z'
'-x+1/2,-y+1/2,-z'
'-x+1/2,y+1/2,-z+1/2'
'x+1/2,-y+1/2,z+1/2'
loop_
_atom_site_label
_atom_site_type_symbol
_atom_site_fract_x
_atom_site_fract_y
_atom_site_fract_z
Ti1 Ti 0.0000 0.0000 0.0000
Ti2 Ti 0.1989 0.0798 0.0393
V1 V 0.0735 0.4616 0.8898
O1 O 0.0000 0.1815 0.2500
O2 O 0.0430 0.3437 0.6128
O3 O 0.0921 0.1334 0.9918
O4 O 0.1927 0.3953 0.9319
O5 O 0.1955 0.1073 0.3144
# Crystal system: monoclinic

***

two.
# PBE+U Ti3V2O9, optimized geometry
data_Ti3V2O9
_chemical_formula_sum 'Ti12 V8 O36'
_cell_length_a 21.8313
_cell_length_b 5.1508
_cell_length_c 6.7457
_cell_angle_alpha 90.00
_cell_angle_beta 107.03
_cell_angle_gamma 90.00
_space_group_name_H-M_alt 'C 1 2/c 1'
_space_group_IT_number 15
loop_
_space_group_symop_operation_xyz
'x,y,z'
'-x,-y,-z'
'-x,y,-z+1/2'
'x,-y,z+1/2'
'x+1/2,y+1/2,z'
'-x+1/2,-y+1/2,-z'
'-x+1/2,y+1/2,-z+1/2'
'x+1/2,-y+1/2,z+1/2'
loop_
_atom_site_label
_atom_site_type_symbol
_atom_site_fract_x
_atom_site_fract_y
_atom_site_fract_z
Ti1 Ti 0.0000 0.0000 0.0000
Ti2 Ti 0.1739 0.1372 0.0735
V1 V 0.0643 0.4793 0.9146
O1 O 0.0000 0.1972 0.2500
O2 O 0.0359 0.3365 0.6320
O3 O 0.0855 0.1034 0.0154
O4 O 0.1566 0.4817 0.0257
O5 O 0.1974 0.0060 0.8477
# Crystal system: monoclinic

***

Which structure wins on stability? two wins.

***

one.
# PBE+U Ti3VO8, optimized geometry
data_Ti3VO8
_chemical_formula_sum 'Ti6 V2 O16'
_cell_length_a 5.3805
_cell_length_b 9.0878
_cell_length_c 5.7815
_cell_angle_alpha 90.00
_cell_angle_beta 90.00
_cell_angle_gamma 90.00
_space_group_name_H-M_alt 'C 2 2 2'
_space_group_IT_number 21
loop_
_space_group_symop_operation_xyz
'x,y,z'
'-x,-y,z'
'x,-y,-z'
'-x,y,-z'
'x+1/2,y+1/2,z'
'-x+1/2,-y+1/2,z'
'x+1/2,-y+1/2,-z'
'-x+1/2,y+1/2,-z'
loop_
_atom_site_label
_atom_site_type_symbol
_atom_site_fract_x
_atom_site_fract_y
_atom_site_fract_z
Ti1 Ti 0.0000 0.0000 0.0000
Ti2 Ti 0.2500 0.2500 0.7556
V1 V 0.0000 0.0000 0.5000
O1 O 0.0000 0.2124 0.5000
O2 O 0.0000 0.2226 0.0000
O3 O 0.2399 0.0349 0.7530
# Crystal system: orthorhombic

***

two.
# PBE+U Ti3VO8, optimized geometry
data_Ti3VO8
_chemical_formula_sum 'Ti6 V2 O16'
_cell_length_a 5.9439
_cell_length_b 5.9439
_cell_length_c 8.9992
_cell_angle_alpha 90.00
_cell_angle_beta 90.00
_cell_angle_gamma 120.00
_space_group_name_H-M_alt 'P 63 m c'
_space_group_IT_number 186
_space_group_name_Hall 'P 6c -2c'
loop_
_atom_site_label
_atom_site_type_symbol
_atom_site_fract_x
_atom_site_fract_y
_atom_site_fract_z
Ti1 Ti 0.1676 0.3352 0.0000
V1 V 0.3333 0.6667 0.2766
O1 O 0.0000 0.0000 0.1022
O2 O 0.0495 0.5248 0.1299
O3 O 0.1729 0.3457 0.3938
O4 O 0.3333 0.6667 0.8884
# Crystal system: hexagonal

***

Which structure wins on stability? one wins.

***

one.
# PBE+U Ti2VO2, optimized geometry
data_Ti2VO2
_chemical_formula_sum 'Ti4 V2 O4'
_cell_length_a 3.6428
_cell_length_b 3.6428
_cell_length_c 9.9105
_cell_angle_alpha 90.00
_cell_angle_beta 90.00
_cell_angle_gamma 90.00
_space_group_name_H-M_alt 'I 4/m m m'
_space_group_IT_number 139
_space_group_name_Hall '-I 4 2'
loop_
_atom_site_label
_atom_site_type_symbol
_atom_site_fract_x
_atom_site_fract_y
_atom_site_fract_z
Ti1 Ti 0.0000 0.0000 0.1565
V1 V 0.0000 0.0000 0.5000
O1 O 0.0000 0.5000 0.2500
# Crystal system: tetragonal

***

two.
# PBE+U Ti2VO2, optimized geometry
data_Ti2VO2
_chemical_formula_sum 'Ti4 V2 O4'
_cell_length_a 6.7441
_cell_length_b 6.7441
_cell_length_c 2.6554
_cell_angle_alpha 90.00
_cell_angle_beta 90.00
_cell_angle_gamma 90.00
_space_group_name_H-M_alt 'P 4/m b m'
_space_group_IT_number 127
_space_group_name_Hall '-P 4 2ab'
loop_
_atom_site_label
_atom_site_type_symbol
_atom_site_fract_x
_atom_site_fract_y
_atom_site_fract_z
Ti1 Ti 0.1419 0.3581 0.0000
V1 V 0.0000 0.0000 0.0000
O1 O 0.1245 0.6245 0.5000
# Crystal system: tetragonal

***

Which structure wins on stability? one wins.

***

one.
# PBE+U Ti2VO6, optimized geometry
data_Ti2VO6
_chemical_formula_sum 'Ti4 V2 O12'
_cell_length_a 4.7251
_cell_length_b 5.0255
_cell_length_c 8.4917
_cell_angle_alpha 90.00
_cell_angle_beta 90.00
_cell_angle_gamma 90.00
_space_group_name_H-M_alt 'P n n m'
_space_group_IT_number 58
loop_
_space_group_symop_operation_xyz
'x,y,z'
'-x,-y,-z'
'-x,-y,z'
'x,y,-z'
'x+1/2,-y+1/2,-z+1/2'
'-x+1/2,y+1/2,z+1/2'
'-x+1/2,y+1/2,-z+1/2'
'x+1/2,-y+1/2,z+1/2'
loop_
_atom_site_label
_atom_site_type_symbol
_atom_site_fract_x
_atom_site_fract_y
_atom_site_fract_z
Ti1 Ti 0.0000 0.0000 0.1932
V1 V 0.0000 0.5000 0.0000
O1 O 0.1857 0.1774 0.0000
O2 O 0.2339 0.6670 0.1726
# Crystal system: orthorhombic

***

two.
# PBE+U Ti2VO6, optimized geometry
data_Ti2VO6
_chemical_formula_sum 'Ti4 V2 O12'
_cell_length_a 4.6114
_cell_length_b 4.6114
_cell_length_c 8.9535
_cell_angle_alpha 90.00
_cell_angle_beta 90.00
_cell_angle_gamma 90.00
_space_group_name_H-M_alt 'P 42/m n m'
_space_group_IT_number 136
_space_group_name_Hall '-P 4n 2n'
loop_
_atom_site_label
_atom_site_type_symbol
_atom_site_fract_x
_atom_site_fract_y
_atom_site_fract_z
Ti1 Ti 0.0000 0.0000 0.1691
V1 V 0.0000 0.0000 0.5000
O1 O 0.1959 0.1959 0.3319
O2 O 0.2014 0.2014 0.0000
# Crystal system: tetragonal

***

Which structure wins on stability? two wins.

***

one.
# PBE+U TiWO2, optimized geometry
data_TiWO2
_chemical_formula_sum 'Ti3 W3 O6'
_cell_length_a 2.8935
_cell_length_b 2.8935
_cell_length_c 19.4357
_cell_angle_alpha 90.00
_cell_angle_beta 90.00
_cell_angle_gamma 120.00
_space_group_name_H-M_alt 'R -3 m'
_space_group_IT_number 166
_space_group_name_Hall '-R 3 2"'
loop_
_atom_site_label
_atom_site_type_symbol
_atom_site_fract_x
_atom_site_fract_y
_atom_site_fract_z
Ti1 Ti 0.0000 0.0000 0.0000
W1 W 0.0000 0.0000 0.5000
O1 O 0.0000 0.0000 0.3929
# Crystal system: trigonal

***

two.
# PBE+U TiWO2, optimized geometry
data_TiWO2
_chemical_formula_sum 'Ti4 W4 O8'
_cell_length_a 4.7070
_cell_length_b 4.7070
_cell_length_c 9.7658
_cell_angle_alpha 90.00
_cell_angle_beta 90.00
_cell_angle_gamma 90.00
_space_group_name_H-M_alt 'I -4 2 d'
_space_group_IT_number 122
_space_group_name_Hall 'I -4 2bw'
loop_
_atom_site_label
_atom_site_type_symbol
_atom_site_fract_x
_atom_site_fract_y
_atom_site_fract_z
Ti1 Ti 0.0000 0.0000 0.0000
W1 W 0.0000 0.0000 0.5000
O1 O 0.2093 0.2500 0.1250
# Crystal system: tetragonal

***

three.
# PBE+U TiWO2, optimized geometry
data_TiWO2
_chemical_formula_sum 'Ti4 W4 O8'
_cell_length_a 5.5571
_cell_length_b 5.5571
_cell_length_c 5.5571
_cell_angle_alpha 90.00
_cell_angle_beta 90.00
_cell_angle_gamma 90.00
_space_group_name_H-M_alt 'F m -3 m'
_space_group_IT_number 225
_space_group_name_Hall '-F 4 2 3'
loop_
_atom_site_label
_atom_site_type_symbol
_atom_site_fract_x
_atom_site_fract_y
_atom_site_fract_z
Ti1 Ti 0.0000 0.0000 0.0000
W1 W 0.0000 0.0000 0.5000
O1 O 0.2500 0.2500 0.2500
# Crystal system: cubic

***

Which structure wins on stability? one wins.

***

one.
# PBE+U YTiW2O8, optimized geometry
data_YTiW2O8
_chemical_formula_sum 'Y2 Ti2 W4 O16'
_cell_length_a 5.3476
_cell_length_b 5.8379
_cell_length_c 9.6882
_cell_angle_alpha 88.62
_cell_angle_beta 87.60
_cell_angle_gamma 89.39
_space_group_name_H-M_alt 'P -1'
_space_group_IT_number 2
loop_
_space_group_symop_operation_xyz
'x,y,z'
'-x,-y,-z'
loop_
_atom_site_label
_atom_site_type_symbol
_atom_site_fract_x
_atom_site_fract_y
_atom_site_fract_z
Y1 Y 0.2460 0.1559 0.2569
Ti1 Ti 0.2685 0.1787 0.7692
W1 W 0.2400 0.6588 0.0028
W2 W 0.2472 0.6523 0.4976
O1 O 0.0605 0.8599 0.1445
O2 O 0.0668 0.3893 0.6150
O3 O 0.0872 0.3823 0.1027
O4 O 0.1264 0.8774 0.6180
O5 O 0.3848 0.9106 0.8672
O6 O 0.4145 0.3974 0.8812
O7 O 0.4209 0.3856 0.4021
O8 O 0.4410 0.8476 0.3563
# Crystal system: triclinic

***

two.
# PBE+U YTiW2O8, optimized geometry
data_YTiW2O8
_chemical_formula_sum 'Y1 Ti1 W2 O8'
_cell_length_a 5.0801
_cell_length_b 5.6785
_cell_length_c 6.0936
_cell_angle_alpha 73.42
_cell_angle_beta 88.93
_cell_angle_gamma 71.12
_space_group_name_H-M_alt 'P 1'
_space_group_IT_number 1
loop_
_space_group_symop_operation_xyz
'x,y,z'
loop_
_atom_site_label
_atom_site_type_symbol
_atom_site_fract_x
_atom_site_fract_y
_atom_site_fract_z
Y1 Y 0.0000 0.0000 0.0000
Ti1 Ti 0.5071 0.9716 0.4782
W1 W 0.2768 0.5022 0.6860
W2 W 0.7884 0.4631 0.3681
O1 O 0.2223 0.2925 0.4733
O2 O 0.2365 0.2856 0.9542
O3 O 0.3238 0.8117 0.7544
O4 O 0.3734 0.7603 0.3465
O5 O 0.6871 0.2736 0.6986
O6 O 0.7247 0.1674 0.2745
O7 O 0.8460 0.6891 0.0867
O8 O 0.8645 0.6958 0.5697
# Crystal system: triclinic

***

Which structure wins on stability? one wins.